[1]
# PBE LiY4Ir2, optimized geometry
# N(E_F)	6.631	states/eV/f.u.
# energy relative to the elements	-0.61	eV/atom
# theoretical density	7558	kg/m³
data_LiY4Ir2
_symmetry_space_group_name_H-M 'R -3 m'
_symmetry_Int_Tables_number 166
_symmetry_space_group_name_Hall '-R 3 2"'
_cell_length_a 4.8802
_cell_length_b 4.8802
_cell_length_c 23.8716
_cell_angle_alpha 90.00
_cell_angle_beta 90.00
_cell_angle_gamma 120.00
loop_
_atom_site_label
_atom_site_fract_x
_atom_site_fract_y
_atom_site_fract_z
Li1 0.0000 0.0000 0.0000
Y1 0.0000 0.0000 0.1279
Y2 0.0000 0.0000 0.3789
Ir1 0.0000 0.0000 0.2521

[2]
# PBE LiNi2W, optimized geometry
# N(E_F)	3.453	states/eV/f.u.
# energy relative to the elements	0.21	eV/atom
# theoretical density	9624	kg/m³
data_LiNi2W
_symmetry_space_group_name_H-M 'R 3 m'
_symmetry_Int_Tables_number 160
_symmetry_space_group_name_Hall 'R 3 -2"'
_cell_length_a 2.6462
_cell_length_b 2.6462
_cell_length_c 26.3049
_cell_angle_alpha 90.00
_cell_angle_beta 90.00
_cell_angle_gamma 120.00
loop_
_atom_site_label
_atom_site_fract_x
_atom_site_fract_y
_atom_site_fract_z
Li1 0.0000 0.0000 0.0000
Ni1 0.0000 0.0000 0.2549
Ni2 0.0000 0.0000 0.5120
W1 0.0000 0.0000 0.7650

[3]
# PBE Al3As2, optimized geometry
# N(E_F)	1.956	states/eV/f.u.
# energy relative to the elements	-0.02	eV/atom
# offset from the most stable computed form	0.0961	eV/atom
# theoretical density	3867	kg/m³
data_Al3As2
_symmetry_space_group_name_H-M 'P -3 m 1'
_symmetry_Int_Tables_number 164
_symmetry_space_group_name_Hall '-P 3 2"'
_cell_length_a 4.5414
_cell_length_b 4.5414
_cell_length_c 5.5483
_cell_angle_alpha 90.00
_cell_angle_beta 90.00
_cell_angle_gamma 120.00
loop_
_atom_site_label
_atom_site_fract_x
_atom_site_fract_y
_atom_site_fract_z
Al1 0.0000 0.0000 0.0000
Al2 0.3333 0.6667 0.2796
As1 0.3333 0.6667 0.7555

[4]
# PBE Nb3B7Ir, optimized geometry
# N(E_F)	4.235	states/eV/f.u.
# energy relative to the elements	-0.48	eV/atom
# theoretical density	8457	kg/m³
data_Nb3B7Ir
_symmetry_space_group_name_H-M 'C m c m'
_symmetry_Int_Tables_number 63
_symmetry_space_group_name_Hall '-C 2c 2'
_cell_length_a 3.277
_cell_length_b 14.621
_cell_length_c 8.959
_cell_angle_alpha 90.00
_cell_angle_beta 90.00
_cell_angle_gamma 90.00
loop_
_atom_site_label
_atom_site_fract_x
_atom_site_fract_y
_atom_site_fract_z
Nb1 0.000 0.110 0.055
Nb2 0.000 0.249 0.750
B1 0.000 0.272 0.033
B2 0.000 0.365 0.148
B3 0.000 0.426 0.750
B4 0.000 0.487 0.091
Ir1 0.000 0.048 0.750